Density functional theory data (PBE) for crystalline YCoC at its relaxed geometry.

Summary:
The total magnetic moment is 0.00 μB/f.u. The calculation puts the volume at 40.8 Å³/cell. Its formation energy is -0.087 eV/atom. Its energy relative to the lowest polymorph listed for this composition is 227 meV/atom. Its space-group type is P-6m2. As for the total energy: -7.6850 eV per atom.

Unit cell a=3.4512 b=3.4512 c=3.9587 alpha=90.00 beta=90.00 gamma=120.00
Element x y z (fractional)
Y  0.0000  0.0000  0.0000
Co  0.6667  0.3333  0.5000
C  0.3333  0.6667  0.5000